Computed, not measured: an optimized crystal structure of Tc2AgAu at the PBE level of DFT.

The energy above the most stable polymorph in this dataset comes out at 2.616 eV/f.u. Its magnetic moment is 0.00 μB per formula unit. Its total energy is -5.93 eV per atom.

Lattice parameters (Å, degrees): 4.498 4.498 4.498 60.00 60.00 60.00
Fractional positions:
Tc  0.250  0.250  0.250
Au  0.500  0.500  0.500
Ag  0.000  0.000  0.000
Tc  0.750  0.750  0.750

***

Computed, not measured: an optimized crystal structure of Tc2AgAu at the PBE level of DFT.

The energy above the most stable polymorph in this dataset comes out at 0.273 eV/f.u. Its magnetic moment is 0.00 μB per formula unit. Its total energy is -6.52 eV per atom.

Lattice parameters (Å, degrees): 2.894 2.894 7.914 90.00 90.00 90.00
Fractional positions:
Ag  0.000  0.000  0.492
Tc  0.500  0.500  0.218
Tc  0.000  0.000  0.030
Au  0.500  0.500  0.760

***

Computed, not measured: an optimized crystal structure of Tc2AgAu at the PBE level of DFT.

The energy above the most stable polymorph in this dataset comes out at 1.459 eV/f.u. Its magnetic moment is 0.00 μB per formula unit. Its total energy is -6.22 eV per atom.

Lattice parameters (Å, degrees): 5.201 5.201 5.201 137.30 137.31 61.99
Fractional positions:
Tc  0.000  0.000  0.000
Ag  0.250  0.750  0.500
Tc  0.500  0.500  0.000
Au  0.750  0.250  0.500

***

Computed, not measured: an optimized crystal structure of TcAgAu2 at the PBE level of DFT.

The energy above the most stable polymorph in this dataset comes out at 0.922 eV/f.u. Its magnetic moment is 0.94 μB per formula unit. Its total energy is -4.49 eV per atom.

Lattice parameters (Å, degrees): 2.758 5.065 4.988 90.00 90.00 90.00
Each line ends with the local moment (μB).
Fractional positions:
Tc  0.500  0.000  0.500  0.86
Ag  0.000  0.500  0.500  0.00
Au  0.500  0.500  0.000  0.00
Au  0.000  0.000  0.000  0.00

***

Computed, not measured: an optimized crystal structure of TcAgAu2 at the PBE level of DFT.

The energy above the most stable polymorph in this dataset comes out at 0.738 eV/f.u. Its magnetic moment is 2.26 μB per formula unit. Its total energy is -4.54 eV per atom.

Lattice parameters (Å, degrees): 4.627 4.627 4.627 60.00 60.00 60.00
Each line ends with the local moment (μB).
Fractional positions:
Au  0.250  0.250  0.250  0.05
Tc  0.000  0.000  0.000  2.05
Au  0.750  0.750  0.750  0.05
Ag  0.500  0.500  0.500  0.00

***

Computed, not measured: an optimized crystal structure of TcAgAu2 at the PBE level of DFT.

The energy above the most stable polymorph in this dataset comes out at 2.096 eV/f.u. Its magnetic moment is 2.87 μB per formula unit. Its total energy is -4.20 eV per atom.

Lattice parameters (Å, degrees): 3.955 3.955 10.171 78.79 78.79 90.00
Each line ends with the local moment (μB).
Fractional positions:
Au  0.624  0.125  0.250  0.07
Ag  0.750  0.250  0.500  0.07
Au  0.126  0.625  0.250  0.07
Tc  0.500  0.500  0.000  2.44
Tc  0.250  0.750  0.500  2.44
Au  0.375  0.376  0.750  0.09
Au  0.875  0.874  0.750  0.09
Ag  0.000  0.000  0.000  0.07

***

Computed, not measured: an optimized crystal structure of Tc2AgAu at the PBE level of DFT.

The energy above the most stable polymorph in this dataset comes out at 1.464 eV/f.u. Its magnetic moment is 0.00 μB per formula unit. Its total energy is -6.22 eV per atom.

Lattice parameters (Å, degrees): 3.786 3.786 4.464 90.00 90.00 90.00
Fractional positions:
Tc  0.000  0.000  0.000
Au  0.000  0.500  0.500
Tc  0.500  0.500  0.000
Ag  0.500  0.000  0.500

***

Computed, not measured: an optimized crystal structure of TcAgAu3 at the PBE level of DFT.

The energy above the most stable polymorph in this dataset comes out at 0.000 eV/f.u. Its magnetic moment is 2.01 μB per formula unit. Its total energy is -3.47 eV per atom.

Lattice parameters (Å, degrees): 5.046 5.046 5.046 90.00 90.00 90.00
Each line ends with the local moment (μB).
Fractional positions:
Au  0.000  0.000  0.500  0.20
Au  0.500  0.000  0.000  0.06
Ag  0.500  0.500  0.500  -0.01
Tc  0.000  0.000  0.000  1.52
Au  0.000  0.500  0.000  0.11

***

Number 1: formation enthalpy at 0 K 784 meV/atom. Number 2: formation enthalpy at 0 K 198 meV/atom. Number 3: formation enthalpy at 0 K 494 meV/atom. Number 4: formation enthalpy at 0 K 453 meV/atom. Number 5: formation enthalpy at 0 K 407 meV/atom. Number 6: formation enthalpy at 0 K 746 meV/atom. Number 7: formation enthalpy at 0 K 496 meV/atom. Number 8: formation enthalpy at 0 K 1137 meV/atom.